# 1
This record from the Open Quantum Materials Database describes a geometry-optimized TmTaTl structure. The functional is GGA-PBE.

a = 4.934 Å, b = 4.934 Å, c = 4.934 Å
α = 60.00°, β = 60.00°, γ = 60.00°
Fractional coordinates of all 3 atoms:
Ta: 0.250 0.250 0.250
Tm: 0.000 0.000 0.000
Tl: 0.750 0.750 0.750

Summary:
Crystal system: cubic
Energy relative to the lowest polymorph listed for this composition (kcal/mol of atoms): 9.22

# 2
This record from the Open Quantum Materials Database describes a geometry-optimized KAlNi structure. The functional is GGA-PBE.

a = 4.674 Å, b = 4.674 Å, c = 4.674 Å
α = 60.00°, β = 60.00°, γ = 60.00°
Fractional coordinates of all 3 atoms:
Al: 0.250 0.250 0.250
K: 0.750 0.750 0.750
Ni: 0.000 0.000 0.000

Summary:
Crystal system: cubic
Energy relative to the lowest polymorph listed for this composition (kcal/mol of atoms): 0.00

# 3
This record from the Open Quantum Materials Database describes a geometry-optimized TaZnInCu structure. The functional is GGA-PBE.

a = 4.576 Å, b = 4.576 Å, c = 4.576 Å
α = 60.00°, β = 60.00°, γ = 60.00°
Fractional coordinates of all 4 atoms:
Cu: 0.750 0.750 0.750
In: 0.000 0.000 0.000
Ta: 0.250 0.250 0.250
Zn: 0.500 0.500 0.500

Summary:
Crystal system: cubic
Energy relative to the lowest polymorph listed for this composition (kcal/mol of atoms): 1.56

# 4
This record from the Open Quantum Materials Database describes a geometry-optimized PuHfRe structure. The functional is GGA-PBE.

a = 4.605 Å, b = 4.605 Å, c = 4.605 Å
α = 60.00°, β = 60.00°, γ = 60.00°
Each line ends with the local moment (μB).
Fractional coordinates of all 3 atoms:
Hf: 0.750 0.750 0.750  0.09
Re: 0.000 0.000 0.000  -0.38
Pu: 0.250 0.250 0.250  4.94

Summary:
Crystal system: cubic
Energy relative to the lowest polymorph listed for this composition (kcal/mol of atoms): 0.00
ΔE_f (eV per atom): 0.1650